[1]
First-principles (PBE) data for a geometry-optimized KSbTe2 structure, as listed in the Alexandria database.

Cell and atoms, written as POSCAR:
```
KSbTe2
1.0
4.631 -4.625 0.000
4.631 4.625 0.000
-0.763 0.000 3.139
K Sb Te
1 1 2
Direct
0.000 0.000 0.000
0.500 0.500 0.000
0.000 0.500 0.000
0.500 0.000 0.000
```

Values from the calculation:
Fermi-level density of states, states/eV per atom: 0.43
Raw formation energy, eV/atom: -0.2741
Total energy, eV per formula unit: -12.60


[2]
First-principles (PBE) data for a geometry-optimized Cs2MgTl10 structure, as listed in the Alexandria database.

Cell and atoms, written as POSCAR:
```
Cs2MgTl10
1.0
10.807 0.000 0.000
0.000 13.301 0.000
0.000 0.000 7.378
Cs Mg Tl
4 2 20
Direct
0.233 0.062 0.000
0.267 0.562 0.000
0.733 0.438 0.000
0.767 0.938 0.000
0.000 0.500 0.500
0.500 0.000 0.500
0.046 0.121 0.500
0.074 0.317 0.229
0.074 0.317 0.771
0.174 0.696 0.500
0.237 0.932 0.500
0.263 0.432 0.500
0.326 0.196 0.500
0.426 0.817 0.229
0.426 0.817 0.771
0.454 0.621 0.500
0.546 0.379 0.500
0.574 0.183 0.229
0.574 0.183 0.771
0.674 0.804 0.500
0.737 0.568 0.500
0.763 0.068 0.500
0.826 0.304 0.500
0.926 0.683 0.229
0.926 0.683 0.771
0.954 0.879 0.500
```

Values from the calculation:
ΔE_f, meV/atom: 5
Fermi-level density of states, states/eV per atom: 0.47
Total energy, eV per formula unit: -26.90


[3]
First-principles (PBE) data for a geometry-optimized Ba2CaCd2 structure, as listed in the Alexandria database.

Cell and atoms, written as POSCAR:
```
Ba2CaCd2
1.0
10.004 0.000 0.000
0.000 10.004 0.000
0.000 0.000 3.943
Ba Ca Cd
4 2 4
Direct
0.138 0.362 0.000
0.362 0.862 0.000
0.638 0.138 0.000
0.862 0.638 0.000
0.000 0.000 0.000
0.500 0.500 0.000
0.158 0.658 0.500
0.342 0.158 0.500
0.658 0.842 0.500
0.842 0.342 0.500
```

Values from the calculation:
ΔE_f, meV/atom: -120
Fermi-level density of states, states/eV per atom: 0.70
Relative energy among the computed polymorphs, eV/atom: 0.1056
Total energy, eV per formula unit: -8.28


[4]
First-principles (PBE) data for a geometry-optimized Pm4Ge2AsSe structure, as listed in the Alexandria database.

Cell and atoms, written as POSCAR:
```
Pm4Ge2AsSe
1.0
7.273 0.000 0.000
0.000 4.192 0.000
-2.429 0.000 7.099
Pm Ge As Se
4 2 1 1
Direct
0.246 0.000 0.247
0.246 0.500 0.748
0.754 0.000 0.753
0.754 0.500 0.252
0.000 0.000 0.500
0.500 0.500 0.500
0.000 0.500 0.000
0.500 0.000 0.000
```

Values from the calculation:
Fermi-level density of states, states/eV per atom: 0.56
Raw formation energy, eV/atom: -1.2535
Total energy, eV per formula unit: -46.40


[5]
First-principles (PBE) data for a geometry-optimized DyLu2Ni structure, as listed in the Alexandria database.

Cell and atoms, written as POSCAR:
```
DyLu2Ni
1.0
3.368 0.000 0.000
0.000 3.368 0.000
0.000 0.000 8.534
Dy Lu Ni
1 2 1
Direct
0.000 0.000 0.000
0.500 0.500 0.314
0.500 0.500 0.686
0.000 0.000 0.500
```

Values from the calculation:
ΔE_f, meV/atom: -215
Fermi-level density of states, states/eV per atom: 1.09
Relative energy among the computed polymorphs, eV/atom: 0.0000
Total energy, eV per formula unit: -20.28


[6]
First-principles (PBE) data for a geometry-optimized Cu2SbAs structure, as listed in the Alexandria database.

Cell and atoms, written as POSCAR:
```
Cu2SbAs
1.0
3.853 -1.751 0.000
3.853 1.751 0.000
-2.462 0.000 5.582
Cu Sb As
2 1 1
Direct
0.000 0.000 0.000
0.240 0.240 0.821
0.456 0.456 0.583
0.756 0.756 0.158
```

Values from the calculation:
Fermi-level density of states, states/eV per atom: 0.53
Relative energy among the computed polymorphs, eV/atom: 0.0372
Raw formation energy, eV/atom: 0.1116
Total energy, eV per formula unit: -16.52